Record 1
A plane-wave DFT calculation with GGA-PBEsol was carried out for crystalline NaBiTe2 at its relaxed geometry. Values from VASP.

Structure (Quantum ESPRESSO input):
```
&SYSTEM
  ibrav = 0, nat = 4, ntyp = 3
/
ATOMIC_SPECIES
Na 22.99 Na.upf
Te 127.60 Te.upf
Bi 208.98 Bi.upf
ATOMIC_POSITIONS crystal
Na 0.500 0.500 0.500
Te 0.907 0.907 0.280
Te 0.093 0.093 0.720
Bi 0.000 0.000 0.000
CELL_PARAMETERS angstrom
3.478 0.000 0.000
1.739 3.012 0.000
1.739 1.004 11.099
```

***

Record 2
! HfCd2Ga2 (GGA-PBEsol, relaxed); values from VASP
&SYSTEM
  ibrav = 0, nat = 5, ntyp = 3
/
ATOMIC_SPECIES
Hf 178.49 Hf.upf
Ga 69.72 Ga.upf
Cd 112.41 Cd.upf
ATOMIC_POSITIONS crystal
Hf 0.000 0.000 0.000
Ga 0.403 0.403 0.806
Ga 0.597 0.597 0.194
Cd 0.250 0.750 0.500
Cd 0.750 0.250 0.500
CELL_PARAMETERS angstrom
3.989 0.000 0.000
0.000 3.989 0.000
-1.994 -1.994 5.921
! formation energy: 0.04 eV/atom

***

Record 3
! Mg2Mo (GGA-PBEsol, relaxed); values from VASP
&SYSTEM
  ibrav = 0, nat = 3, ntyp = 2
/
ATOMIC_SPECIES
Mg 24.30 Mg.upf
Mo 95.94 Mo.upf
ATOMIC_POSITIONS crystal
Mg 0.500 0.000 0.500
Mg 0.500 0.500 0.000
Mo 0.000 0.000 0.000
CELL_PARAMETERS angstrom
2.622 0.000 0.000
0.000 5.098 0.000
0.000 0.000 5.098
! formation energy: 0.69 eV/atom

***

Record 4
! BaLa2Os (GGA-PBEsol, relaxed); values from VASP
&SYSTEM
  ibrav = 0, nat = 4, ntyp = 3
/
ATOMIC_SPECIES
Os 190.23 Os.upf
Ba 137.33 Ba.upf
La 138.91 La.upf
ATOMIC_POSITIONS crystal
Os 0.500 0.500 0.000
Ba 0.250 0.750 0.500
La 0.000 0.000 0.000
La 0.750 0.250 0.500
CELL_PARAMETERS angstrom
4.431 0.000 0.000
0.000 4.431 0.000
-2.215 -2.215 5.389
! excess energy over the best structure of this formula in the dataset: 482.1 meV/atom
! formation energy: 0.49 eV/atom

***

Record 5
! Cu2MoRh (GGA-PBEsol, relaxed); values from VASP
&SYSTEM
  ibrav = 0, nat = 4, ntyp = 3
/
ATOMIC_SPECIES
Cu 63.55 Cu.upf
Mo 95.94 Mo.upf
Rh 102.91 Rh.upf
ATOMIC_POSITIONS crystal
Cu 0.500 0.000 0.015
Cu 0.000 0.500 0.234
Mo 0.500 0.000 0.509
Rh 0.000 0.500 0.742
CELL_PARAMETERS angstrom
-1.996 -1.760 0.258
1.225 -0.888 3.417
-3.021 3.728 2.052
! formation energy: 0.07 eV/atom

***

Record 6
A plane-wave DFT calculation with GGA-PBEsol was carried out for crystalline CrOsN2O at its relaxed geometry. Values from VASP.

Structure (Quantum ESPRESSO input):
```
&SYSTEM
  ibrav = 0, nat = 5, ntyp = 4
/
ATOMIC_SPECIES
Cr 52.00 Cr.upf
Os 190.23 Os.upf
O 16.00 O.upf
N 14.01 N.upf
ATOMIC_POSITIONS crystal
Cr 0.000 0.000 0.000
Os 0.500 0.500 0.500
O 0.500 0.000 0.000
N 0.000 0.000 0.500
N 0.000 0.500 0.000
CELL_PARAMETERS angstrom
-0.470 -3.403 0.644
-0.519 -0.618 -3.645
3.662 -0.586 -0.423
```

***

Record 7
A plane-wave DFT calculation with GGA-PBEsol was carried out for crystalline TlIn4Si at its relaxed geometry. Values from VASP.

Structure (Quantum ESPRESSO input):
```
&SYSTEM
  ibrav = 0, nat = 6, ntyp = 3
/
ATOMIC_SPECIES
In 114.82 In.upf
Si 28.09 Si.upf
Tl 204.38 Tl.upf
ATOMIC_POSITIONS crystal
In 0.375 0.375 0.375
In 0.375 0.375 0.874
In 0.874 0.375 0.375
In 0.375 0.874 0.375
Si 0.750 0.750 0.750
Tl 0.000 0.000 0.000
CELL_PARAMETERS angstrom
-3.212 -3.060 4.059
2.773 -2.763 4.565
-0.578 2.122 5.597
```

***

Record 8
! La3MgTc (GGA-PBEsol, relaxed); values from VASP
&SYSTEM
  ibrav = 0, nat = 5, ntyp = 3
/
ATOMIC_SPECIES
Mg 24.30 Mg.upf
Tc 98.00 Tc.upf
La 138.91 La.upf
ATOMIC_POSITIONS crystal
Mg 0.500 0.500 0.500
Tc 0.000 0.000 0.000
La 0.000 0.500 0.000
La 0.000 0.000 0.500
La 0.500 0.000 0.000
CELL_PARAMETERS angstrom
-2.674 -2.395 4.071
3.999 -3.638 0.486
2.514 3.238 3.557
! formation energy: 0.05 eV/atom

***

Q: Which E_tot values were calculated for the entries above? A: -3.3456; -3.8787; -4.3812; -5.7700; -7.0743; -8.1425; -3.0374; -5.7527, in eV per atom.
Q: Which DOS at the Fermi energy values were calculated for the entries above? A: 0.653; 0.385; 0.713; 0.976; 0.884; 0.853; 0.631; 1.234, in states/eV per atom.